[1]
Below is a relaxed structure of La3Ce4O12, with properties calculated at the PBE level.

Output
SG = C2/m
Total DFT energy (no corrections) = -163.1 eV per formula unit
D(E_F) = 0.575 states/eV per atom
Mass density = 6.4 g/cm³

```
19
Lattice="14.293 -1.926 0.000 14.293 1.926 0.000 -1.057 0.000 5.534" Properties=species:S:1:pos:R:3 pbc="T T T"
La 0.000 0.000 0.000
La 11.709 0.000 2.636
La 15.822 0.000 2.899
Ce 4.160 0.000 0.881
Ce 7.867 0.000 1.597
Ce 19.663 0.000 3.938
Ce 23.370 0.000 4.654
O 1.830 0.000 1.599
O 5.097 0.000 5.333
O 5.694 0.000 2.578
O 9.374 0.000 3.365
O 10.294 0.000 0.621
O 13.671 0.000 1.325
O 13.859 0.000 4.209
O 17.237 0.000 4.914
O 18.157 0.000 2.169
O 21.836 0.000 2.956
O 22.433 0.000 0.201
O 25.700 0.000 3.935
```

=====

[2]
Below is a relaxed structure of La5Al15Cu2Au3, with properties calculated at the PBE level.

Output
SG = I4mm
Calculated formation energy = -587 meV/atom
Total DFT energy (no corrections) = -113.5 eV per formula unit
D(E_F) = 0.273 states/eV per atom
Mass density = 5.9 g/cm³

```
25
Lattice="-2.176 2.176 27.161 2.176 -2.176 27.161 2.176 2.176 -27.161" Properties=species:S:1:pos:R:3 pbc="T T T"
La 0.000 0.000 0.000
La 0.000 0.000 10.621
La 0.000 0.000 21.663
La 0.000 0.000 32.455
La 0.000 0.000 43.304
Al 2.176 0.000 2.663
Al 0.000 0.000 4.330
Al 2.176 0.000 7.966
Al 2.176 0.000 13.506
Al 0.000 0.000 15.134
Al 2.176 0.000 19.029
Al 2.176 0.000 24.545
Al 0.000 0.000 26.199
Al 0.000 2.176 2.663
Al 0.000 2.176 7.966
Al 0.000 0.000 36.766
Al 0.000 2.176 13.506
Al 0.000 2.176 19.029
Al 0.000 0.000 47.815
Al 0.000 2.176 24.545
Cu 0.000 0.000 6.761
Cu 0.000 0.000 28.621
Au 0.000 0.000 17.653
Au 0.000 0.000 39.292
Au 0.000 0.000 50.333
```

=====

[3]
Below is a relaxed structure of Te2AuCl, with properties calculated at the PBE level.

Output
SG = Immm
Total DFT energy (no corrections) = -11.3 eV per formula unit
D(E_F) = 0.644 states/eV per atom
Mass density = 7.6 g/cm³

```
8
Lattice="3.565 0.000 0.000 0.000 6.449 0.000 0.000 0.000 9.244" Properties=species:S:1:pos:R:3 pbc="T T T"
Te 0.000 0.000 2.075
Te 0.000 0.000 7.169
Te 1.782 3.224 2.547
Te 1.782 3.224 6.698
Au 0.000 3.224 4.622
Au 1.782 0.000 0.000
Cl 0.000 3.224 0.000
Cl 1.782 0.000 4.622
```

=====

[4]
Below is a relaxed structure of AcBiRh, with properties calculated at the PBE level.

Output
SG = I4mm
Calculated formation energy = -368 meV/atom
Total DFT energy (no corrections) = -16.4 eV per formula unit
D(E_F) = 1.054 states/eV per atom
Mass density = 11.2 g/cm³
E above lowest polymorph = 28.8 kJ/mol of atoms

```
6
Lattice="3.629 0.000 0.000 0.000 3.629 0.000 0.000 0.000 12.170" Properties=species:S:1:pos:R:3 pbc="T T T"
Ac 0.000 0.000 0.000
Ac 1.815 1.815 6.085
Bi 0.000 0.000 8.767
Bi 1.815 1.815 2.682
Rh 0.000 0.000 4.132
Rh 1.815 1.815 10.217
```